A relaxed Pm3CuAg crystal, computed with PBE.

Geometry as extended XYZ:
```
10
Lattice="8.041 -1.885 0.000 8.041 1.885 0.000 -2.312 0.000 8.879" Properties=species:S:1:pos:R:3 pbc="T T T"
Pm 0.188 0.000 3.359
Pm -0.155 0.000 8.721
Pm 2.561 0.000 6.008
Pm 11.210 0.000 2.871
Pm 13.926 0.000 0.159
Pm 13.583 0.000 5.520
Cu 5.504 0.000 7.682
Cu 8.267 0.000 1.197
Ag 5.701 0.000 2.770
Ag 8.070 0.000 6.110
```

Values from the calculation:
E above lowest polymorph = 0.009 eV per atom
E_form = -0.14 eV/atom
Space-group type = C2/m, No. 12


A relaxed Pm4Cu3Ag crystal, computed with PBE.

Geometry as extended XYZ:
```
8
Lattice="3.916 0.000 0.000 0.000 4.651 0.000 0.000 0.000 10.641" Properties=species:S:1:pos:R:3 pbc="T T T"
Pm 0.000 0.000 0.000
Pm 0.000 2.325 2.907
Pm 1.958 0.000 5.135
Pm 1.958 2.325 8.280
Cu 0.000 2.325 5.949
Cu 1.958 0.000 2.140
Cu 1.958 2.325 0.717
Ag 0.000 0.000 7.495
```

Values from the calculation:
E_form = -0.20 eV/atom
Space-group type = Pmm2, No. 25


A relaxed Pm2CuAg crystal, computed with PBE.

Geometry as extended XYZ:
```
4
Lattice="3.646 0.000 0.000 0.000 3.646 0.000 0.000 0.000 7.320" Properties=species:S:1:pos:R:3 pbc="T T T"
Pm 0.000 0.000 1.728
Pm 0.000 0.000 5.592
Cu 1.823 1.823 0.000
Ag 1.823 1.823 3.660
```

Values from the calculation:
E above lowest polymorph = 0.000 eV per atom
E_form = -0.22 eV/atom
Space-group type = P4/mmm, No. 123


A relaxed PmCuAg2 crystal, computed with PBE.

Geometry as extended XYZ:
```
4
Lattice="2.287 1.321 4.700 -2.287 1.321 4.700 0.000 -2.641 4.700" Properties=species:S:1:pos:R:3 pbc="T T T"
Pm 0.000 0.000 0.000
Cu 0.000 0.000 7.050
Ag 0.000 0.000 3.050
Ag 0.000 0.000 11.051
```

Values from the calculation:
E above lowest polymorph = 0.125 eV per atom
E_form = -0.11 eV/atom
Space-group type = R-3m, No. 166


A relaxed Pm4Cu2Ag crystal, computed with PBE.

Geometry as extended XYZ:
```
7
Lattice="2.547 1.470 8.184 -2.547 1.470 8.184 0.000 -2.941 8.184" Properties=species:S:1:pos:R:3 pbc="T T T"
Pm 0.000 0.000 2.935
Pm 0.000 0.000 9.097
Pm 0.000 0.000 15.454
Pm 0.000 0.000 21.616
Cu 0.000 0.000 6.117
Cu 0.000 0.000 18.434
Ag 0.000 0.000 12.275
```

Values from the calculation:
E_form = -0.06 eV/atom
Space-group type = R-3m, No. 166


A relaxed Pm2CuAg crystal, computed with PBE.

Geometry as extended XYZ:
```
4
Lattice="0.000 3.660 3.660 3.660 0.000 3.660 3.660 3.660 0.000" Properties=species:S:1:pos:R:3 pbc="T T T"
Pm 1.830 1.830 1.830
Pm 5.491 5.491 5.491
Cu 0.000 0.000 0.000
Ag 3.660 3.660 3.660
```

Values from the calculation:
E above lowest polymorph = 0.024 eV per atom
E_form = -0.19 eV/atom
Space-group type = Fm-3m, No. 225


A relaxed PmCu2Ag crystal, computed with PBE.

Geometry as extended XYZ:
```
16
Lattice="9.222 0.000 0.000 0.000 6.416 0.000 0.000 0.000 5.220" Properties=species:S:1:pos:R:3 pbc="T T T"
Pm 0.756 1.604 0.943
Pm 3.855 4.812 3.554
Pm 5.367 1.604 1.667
Pm 8.466 4.812 4.277
Cu 1.592 0.323 3.518
Cu 1.592 2.885 3.518
Cu 3.019 3.531 0.908
Cu 3.019 6.092 0.908
Cu 6.203 0.323 4.312
Cu 6.203 2.885 4.312
Cu 7.630 3.531 1.702
Cu 7.630 6.092 1.702
Ag 0.862 4.812 1.715
Ag 3.749 1.604 4.325
Ag 5.473 4.812 0.896
Ag 8.360 1.604 3.506
```

Values from the calculation:
E above lowest polymorph = 0.019 eV per atom
E_form = -0.12 eV/atom
Space-group type = Pnma, No. 62


A relaxed PmCuAg crystal, computed with PBE.

Geometry as extended XYZ:
```
6
Lattice="5.093 -2.073 0.000 5.093 2.073 0.000 -4.149 0.000 6.025" Properties=species:S:1:pos:R:3 pbc="T T T"
Pm -0.672 0.000 1.817
Pm 6.708 0.000 4.208
Cu 2.293 0.000 2.002
Cu 3.743 0.000 4.023
Ag -0.504 0.000 5.505
Ag 6.540 0.000 0.520
```

Values from the calculation:
E above lowest polymorph = 0.000 eV per atom
E_form = -0.25 eV/atom
Space-group type = C2/m, No. 12


A relaxed PmCu2Ag crystal, computed with PBE.

Geometry as extended XYZ:
```
4
Lattice="3.427 0.000 0.000 0.000 3.427 0.000 0.000 0.000 6.390" Properties=species:S:1:pos:R:3 pbc="T T T"
Pm 0.000 0.000 0.000
Cu 1.713 1.713 1.900
Cu 1.713 1.713 4.490
Ag 0.000 0.000 3.195
```

Values from the calculation:
E above lowest polymorph = 0.099 eV per atom
E_form = -0.04 eV/atom
Space-group type = P4/mmm, No. 123


A relaxed Pm4Cu5Ag3 crystal, computed with PBE.

Geometry as extended XYZ:
```
12
Lattice="6.745 -2.313 0.000 6.745 2.313 0.000 -5.439 0.000 8.634" Properties=species:S:1:pos:R:3 pbc="T T T"
Pm -1.367 0.000 2.807
Pm -0.521 0.000 6.516
Pm 8.572 0.000 2.117
Pm 9.418 0.000 5.827
Cu 1.160 0.000 4.172
Cu 3.390 0.000 3.338
Cu 6.745 0.000 0.000
Cu 4.660 0.000 5.295
Cu 6.891 0.000 4.462
Ag 0.000 0.000 0.000
Ag 3.973 0.000 0.812
Ag 4.077 0.000 7.822
```

Values from the calculation:
E_form = -0.05 eV/atom
Space-group type = C2/m, No. 12


A relaxed PmCu8Ag3 crystal, computed with PBE.

Geometry as extended XYZ:
```
12
Lattice="5.028 0.000 0.000 -2.514 4.354 0.000 0.000 0.000 8.225" Properties=species:S:1:pos:R:3 pbc="T T T"
Pm 0.000 0.000 0.000
Cu 0.000 1.449 5.591
Cu -1.259 3.630 5.591
Cu 0.000 2.903 3.570
Cu 0.000 2.903 7.683
Cu 2.514 0.019 1.604
Cu 1.273 2.168 1.604
Cu 1.259 3.630 5.591
Cu 3.755 2.168 1.604
Ag 0.000 0.000 3.177
Ag 2.514 1.451 4.065
Ag 2.514 1.451 7.023
```

Values from the calculation:
E_form = -0.05 eV/atom
Space-group type = P3m1, No. 156


A relaxed PmCuAg crystal, computed with PBE.

Geometry as extended XYZ:
```
3
Lattice="4.592 0.000 0.000 -2.296 3.977 0.000 0.000 0.000 3.552" Properties=species:S:1:pos:R:3 pbc="T T T"
Pm 0.000 0.000 0.000
Cu 2.296 1.326 1.776
Ag 0.000 2.651 1.776
```

Values from the calculation:
E above lowest polymorph = 0.042 eV per atom
E_form = -0.21 eV/atom
Space-group type = P-6m2, No. 187


- The lowest E_form belongs to which entry?
  number 8